No. 1
An optimized crystal structure of Pm2Ga5Ni4. Source: Alexandria, functional GGA-PBE.

a = 8.908 Å, b = 8.098 Å, c = 5.287 Å
α = 80.46°, β = 63.71°, γ = 35.83°
Positions (direct):
Pm1 0.133 0.133 0.867
Pm2 0.867 0.867 0.133
Ga1 0.000 0.000 0.500
Ga2 0.250 0.250 0.250
Ga3 0.500 0.500 0.000
Ga4 0.500 0.500 0.500
Ga5 0.750 0.750 0.750
Ni1 0.214 0.525 0.475
Ni2 0.475 0.786 0.214
Ni3 0.525 0.214 0.786
Ni4 0.786 0.475 0.525

Properties
The value obtained for the theoretical density is 7.79 g/cm³. The calculation puts the total magnetic moment at 0.0 μB/f.u. The total energy comes out at -4.87 eV per atom.

No. 2
An optimized crystal structure of Pm2Ga3Ni5. Source: Alexandria, functional GGA-PBE.

a = 8.170 Å, b = 8.170 Å, c = 8.170 Å
α = 104.97°, β = 89.03°, γ = 139.33°
Positions (direct):
Pm1 0.128 0.235 0.363
Pm2 0.372 0.735 0.106
Pm3 0.628 0.265 0.894
Pm4 0.872 0.765 0.637
Ga1 0.140 0.897 0.037
Ga2 0.250 0.750 0.500
Ga3 0.360 0.397 0.757
Ga4 0.640 0.603 0.243
Ga5 0.750 0.250 0.500
Ga6 0.860 0.103 0.963
Ni1 0.033 0.750 0.283
Ni2 0.112 0.658 0.770
Ni3 0.250 0.250 0.000
Ni4 0.388 0.158 0.545
Ni5 0.467 0.750 0.717
Ni6 0.533 0.250 0.283
Ni7 0.612 0.842 0.455
Ni8 0.750 0.750 0.000
Ni9 0.888 0.342 0.230
Ni10 0.967 0.250 0.717

Properties
The value obtained for the theoretical density is 8.00 g/cm³. The calculation puts the total magnetic moment at 0.0 μB/f.u. The total energy comes out at -5.22 eV per atom.

No. 3
An optimized crystal structure of Pm2Ga3Ni5. Source: Alexandria, functional GGA-PBE.

a = 10.910 Å, b = 10.910 Å, c = 7.168 Å
α = 90.00°, β = 90.00°, γ = 157.72°
Positions (direct):
Pm1 0.016 0.984 0.500
Pm2 0.346 0.654 0.014
Pm3 0.654 0.346 0.514
Pm4 0.984 0.016 0.000
Ga1 0.121 0.879 0.836
Ga2 0.244 0.756 0.342
Ga3 0.441 0.559 0.699
Ga4 0.559 0.441 0.199
Ga5 0.756 0.244 0.842
Ga6 0.879 0.121 0.336
Ni1 0.119 0.881 0.209
Ni2 0.217 0.783 0.014
Ni3 0.240 0.760 0.674
Ni4 0.348 0.652 0.514
Ni5 0.445 0.555 0.311
Ni6 0.555 0.445 0.811
Ni7 0.652 0.348 0.014
Ni8 0.760 0.240 0.174
Ni9 0.783 0.217 0.514
Ni10 0.881 0.119 0.709

Properties
The value obtained for the theoretical density is 8.14 g/cm³. The calculation puts the total magnetic moment at 0.0 μB/f.u. The total energy comes out at -5.22 eV per atom.

No. 4
An optimized crystal structure of PmGa2Ni9. Source: Alexandria, functional GGA-PBE.

a = 8.152 Å, b = 8.152 Å, c = 8.152 Å
α = 34.89°, β = 34.89°, γ = 34.89°
Positions (direct):
Pm1 0.000 0.000 0.000
Ga1 0.143 0.143 0.143
Ga2 0.857 0.857 0.857
Ni1 0.081 0.591 0.591
Ni2 0.334 0.334 0.334
Ni3 0.409 0.409 0.919
Ni4 0.409 0.919 0.409
Ni5 0.500 0.500 0.500
Ni6 0.591 0.081 0.591
Ni7 0.591 0.591 0.081
Ni8 0.666 0.666 0.666
Ni9 0.919 0.409 0.409

Properties
The value obtained for the theoretical density is 8.53 g/cm³. The calculation puts the total magnetic moment at 0.2 μB/f.u. The total energy comes out at -5.44 eV per atom.